[1]
This record from Alexandria via LeMat-Bulk describes a geometry-optimized ReAs2Ir structure. The functional is PBE.

As for the calculated formation energy: 2.36 eV/f.u. Its magnetic moment is 0.0 μB per cell. The calculation puts the energy relative to the lowest polymorph listed for this composition at 510.3 meV per atom.

Structure (POSCAR):
```
ReAs2Ir
1.0
-0.657 -2.212 -1.843
0.402 -0.626 2.858
-8.157 1.241 1.420
Re As Ir
1 2 1
Cartesian
-6.245 -0.489 1.573
-8.126 1.236 1.415
-4.109 0.625 0.715
-2.167 -1.109 0.863
```

=====

[2]
This record from Alexandria via LeMat-Bulk describes a geometry-optimized Re2AsIr structure. The functional is PBE.

As for the calculated formation energy: 2.26 eV/f.u. Its magnetic moment is 0.0 μB per cell.

Structure (POSCAR):
```
Re2AsIr
1.0
4.429 0.000 0.000
2.214 3.835 0.000
2.214 1.278 3.616
Re As Ir
2 1 1
Cartesian
0.000 0.000 0.000
2.214 1.278 0.904
4.429 2.557 1.808
6.643 3.835 2.712
```

=====

[3]
This record from Alexandria via LeMat-Bulk describes a geometry-optimized ReAs2Ir structure. The functional is PBE.

As for the calculated formation energy: 2.11 eV/f.u. Its magnetic moment is 0.0 μB per cell. The calculation puts the energy relative to the lowest polymorph listed for this composition at 447.6 meV per atom.

Structure (POSCAR):
```
ReAs2Ir
1.0
4.819 -0.040 0.000
1.539 4.567 0.000
-3.179 -2.263 2.828
Re As Ir
1 2 1
Cartesian
2.409 -0.020 1.414
0.000 0.000 0.000
0.769 2.283 1.414
3.179 2.263 0.000
```

=====

[4]
This record from Alexandria via LeMat-Bulk describes a geometry-optimized ReAs2Ir structure. The functional is PBE.

As for the calculated formation energy: 2.70 eV/f.u. Its magnetic moment is 0.0 μB per cell. The calculation puts the energy relative to the lowest polymorph listed for this composition at 595.2 meV per atom.

Structure (POSCAR):
```
ReAs2Ir
1.0
4.495 0.000 0.000
2.247 3.893 0.000
2.247 1.298 3.670
Re As Ir
1 2 1
Cartesian
6.742 3.893 2.753
0.000 0.000 0.000
2.247 1.298 0.918
4.495 2.595 1.835
```

=====

[5]
This record from Alexandria via LeMat-Bulk describes a geometry-optimized ReAs2Ir structure. The functional is PBE.

As for the calculated formation energy: 1.23 eV/f.u. Its magnetic moment is 0.0 μB per cell. The calculation puts the energy relative to the lowest polymorph listed for this composition at 228.3 meV per atom.

Structure (POSCAR):
```
ReAs2Ir
1.0
2.818 2.678 2.076
-1.511 3.487 2.232
0.166 0.038 4.404
Re As Ir
1 2 1
Cartesian
0.000 0.000 0.000
0.368 1.551 2.178
1.105 4.652 6.534
0.737 3.101 4.356
```

=====

[6]
This record from Alexandria via LeMat-Bulk describes a geometry-optimized Re4AsIr structure. The functional is PBE.

As for the calculated formation energy: 4.81 eV/f.u. Its magnetic moment is 0.0 μB per cell.

Structure (POSCAR):
```
Re4AsIr
1.0
-4.679 -0.935 2.038
-3.529 -2.661 -2.717
-1.289 -4.816 1.437
Re As Ir
4 1 1
Cartesian
-5.292 -2.846 -0.247
-4.169 -3.926 1.836
-5.938 -5.260 0.474
-3.593 -4.791 -0.548
-2.374 -2.103 0.189
0.000 0.000 0.000
```

=====

[7]
This record from Alexandria via LeMat-Bulk describes a geometry-optimized ReAsIr4 structure. The functional is PBE.

As for the calculated formation energy: 4.75 eV/f.u. Its magnetic moment is 0.0 μB per cell.

Structure (POSCAR):
```
ReAsIr4
1.0
0.000 3.653 3.653
3.653 0.000 3.653
3.653 3.653 0.000
Re As Ir
1 1 4
Cartesian
1.826 1.826 1.826
0.000 0.000 0.000
2.742 2.742 4.564
2.742 4.564 2.742
4.564 4.564 4.564
4.564 2.742 2.742
```

=====

[8]
This record from Alexandria via LeMat-Bulk describes a geometry-optimized ReAsIr structure. The functional is PBE.

As for the calculated formation energy: 1.22 eV/f.u. Its magnetic moment is 0.0 μB per cell. The calculation puts the energy relative to the lowest polymorph listed for this composition at 272.1 meV per atom.

Structure (POSCAR):
```
ReAsIr
1.0
-3.342 0.586 -3.204
-0.746 -3.610 -2.861
0.034 1.350 4.468
Re As Ir
1 1 1
Cartesian
-2.765 -2.046 -4.102
-4.087 -3.024 -6.064
-1.323 -0.979 -1.963
```